(1)
# MgC3, relaxed, DFT PBE
data_MgC3
_chemical_formula_sum 'Mg2 C6'
_cell_length_a 2.966
_cell_length_b 2.966
_cell_length_c 8.173
_cell_angle_alpha 90.00
_cell_angle_beta 90.00
_cell_angle_gamma 90.00
_space_group_name_H-M_alt 'I 4/m m m'
_space_group_IT_number 139
_space_group_name_Hall '-I 4 2'
loop_
_atom_site_label
_atom_site_type_symbol
_atom_site_fract_x
_atom_site_fract_y
_atom_site_fract_z
Mg1 Mg 0.000 0.000 0.000
C1 C 0.000 0.000 0.500
C2 C 0.000 0.500 0.250
# total moment: 0.0 μB/f.u.
# energy relative to the elements: 2760.9 meV per atom
# crystal system: tetragonal
# offset from the most stable computed form: 2096 meV/atom

---

(2)
# Ba2GaTe, relaxed, DFT PBE
data_Ba2GaTe
_chemical_formula_sum 'Ba8 Ga4 Te4'
_cell_length_a 8.395
_cell_length_b 8.395
_cell_length_c 8.395
_cell_angle_alpha 90.00
_cell_angle_beta 90.00
_cell_angle_gamma 90.00
_space_group_name_H-M_alt 'F m -3 m'
_space_group_IT_number 225
_space_group_name_Hall '-F 4 2 3'
loop_
_atom_site_label
_atom_site_type_symbol
_atom_site_fract_x
_atom_site_fract_y
_atom_site_fract_z
Ba1 Ba 0.250 0.250 0.250
Ga1 Ga 0.000 0.000 0.000
Te1 Te 0.000 0.000 0.500
# total moment: 0.0 μB/f.u.
# formation energy from raw total energies: -0.724 eV per atom
# crystal system: cubic
# offset from the most stable computed form: 302 meV/atom

---

(3)
# TbPm2YHo6, relaxed, DFT PBE
data_TbPm2YHo6
_chemical_formula_sum 'Tb4 Pm8 Y4 Ho24'
_cell_length_a 8.994
_cell_length_b 15.067
_cell_length_c 9.653
_cell_angle_alpha 90.00
_cell_angle_beta 98.74
_cell_angle_gamma 90.00
_space_group_name_H-M_alt 'C 1 2/c 1'
_space_group_IT_number 15
loop_
_space_group_symop_operation_xyz
'x,y,z'
'-x,-y,-z'
'-x,y,-z+1/2'
'x,-y,z+1/2'
'x+1/2,y+1/2,z'
'-x+1/2,-y+1/2,-z'
'-x+1/2,y+1/2,-z+1/2'
'x+1/2,-y+1/2,z+1/2'
loop_
_atom_site_label
_atom_site_type_symbol
_atom_site_fract_x
_atom_site_fract_y
_atom_site_fract_z
Tb1 Tb 0.000 0.093 0.250
Pm1 Pm 0.246 0.447 0.042
Y1 Y 0.000 0.481 0.750
Ho1 Ho 0.064 0.310 0.443
Ho2 Ho 0.104 0.105 0.620
Ho3 Ho 0.201 0.276 0.814
# total moment: 0.0 μB/f.u.
# energy relative to the elements: 116.2 meV per atom
# crystal system: monoclinic

---

(4)
# LaPbI2N, relaxed, DFT PBE
data_LaPbI2N
_chemical_formula_sum 'La1 Pb1 I2 N1'
_cell_length_a 6.695
_cell_length_b 6.695
_cell_length_c 4.305
_cell_angle_alpha 90.00
_cell_angle_beta 90.00
_cell_angle_gamma 90.00
_space_group_name_H-M_alt 'P 4/m m m'
_space_group_IT_number 123
_space_group_name_Hall '-P 4 2'
loop_
_atom_site_label
_atom_site_type_symbol
_atom_site_fract_x
_atom_site_fract_y
_atom_site_fract_z
La1 La 0.000 0.000 0.000
Pb1 Pb 0.500 0.500 0.500
I1 I 0.000 0.500 0.000
N1 N 0.000 0.000 0.500
# total moment: 0.1 μB/f.u.
# formation energy from raw total energies: -0.367 eV per atom
# crystal system: tetragonal
# offset from the most stable computed form: 0 meV/atom

---

(5)
# SiBr2, relaxed, DFT PBE
data_SiBr2
_chemical_formula_sum 'Si4 Br8'
_cell_length_a 12.075
_cell_length_b 3.872
_cell_length_c 10.435
_cell_angle_alpha 90.00
_cell_angle_beta 115.41
_cell_angle_gamma 90.00
_space_group_name_H-M_alt 'C 1 2/m 1'
_space_group_IT_number 12
loop_
_space_group_symop_operation_xyz
'x,y,z'
'-x,-y,-z'
'-x,y,-z'
'x,-y,z'
'x+1/2,y+1/2,z'
'-x+1/2,-y+1/2,-z'
'-x+1/2,y+1/2,-z'
'x+1/2,-y+1/2,z'
loop_
_atom_site_label
_atom_site_type_symbol
_atom_site_fract_x
_atom_site_fract_y
_atom_site_fract_z
Si1 Si 0.223 0.000 0.161
Br1 Br 0.103 0.500 0.889
Br2 Br 0.196 0.000 0.656
# total moment: 0.0 μB/f.u.
# formation energy from raw total energies: -0.300 eV per atom
# crystal system: monoclinic

---

(6)
# Ca2Y2Nb, relaxed, DFT PBE
data_Ca2Y2Nb
_chemical_formula_sum 'Ca4 Y4 Nb2'
_cell_length_a 4.191
_cell_length_b 4.191
_cell_length_c 18.226
_cell_angle_alpha 90.00
_cell_angle_beta 90.00
_cell_angle_gamma 90.00
_space_group_name_H-M_alt 'I 4/m m m'
_space_group_IT_number 139
_space_group_name_Hall '-I 4 2'
loop_
_atom_site_label
_atom_site_type_symbol
_atom_site_fract_x
_atom_site_fract_y
_atom_site_fract_z
Ca1 Ca 0.000 0.500 0.250
Y1 Y 0.000 0.000 0.085
Nb1 Nb 0.000 0.000 0.500
# total moment: 3.0 μB/f.u.
# energy relative to the elements: 753.8 meV per atom
# crystal system: tetragonal
# offset from the most stable computed form: 196 meV/atom

---

(7)
# Na2InAgHg6, relaxed, DFT PBE
data_Na2InAgHg6
_chemical_formula_sum 'Na8 In4 Ag4 Hg24'
_cell_length_a 11.135
_cell_length_b 11.135
_cell_length_c 11.135
_cell_angle_alpha 90.00
_cell_angle_beta 90.00
_cell_angle_gamma 90.00
_space_group_name_H-M_alt 'F m -3 m'
_space_group_IT_number 225
_space_group_name_Hall '-F 4 2 3'
loop_
_atom_site_label
_atom_site_type_symbol
_atom_site_fract_x
_atom_site_fract_y
_atom_site_fract_z
Na1 Na 0.250 0.250 0.250
In1 In 0.000 0.000 0.000
Ag1 Ag 0.000 0.000 0.500
Hg1 Hg 0.000 0.000 0.255
# total moment: 0.0 μB/f.u.
# energy relative to the elements: 56.9 meV per atom
# crystal system: cubic

---

(8)
# KRbNa2Ge, relaxed, DFT PBE
data_KRbNa2Ge
_chemical_formula_sum 'K1 Rb1 Na2 Ge1'
_cell_length_a 5.952
_cell_length_b 5.952
_cell_length_c 6.697
_cell_angle_alpha 90.00
_cell_angle_beta 90.00
_cell_angle_gamma 90.00
_space_group_name_H-M_alt 'P 4/m m m'
_space_group_IT_number 123
_space_group_name_Hall '-P 4 2'
loop_
_atom_site_label
_atom_site_type_symbol
_atom_site_fract_x
_atom_site_fract_y
_atom_site_fract_z
K1 K 0.000 0.000 0.000
Rb1 Rb 0.500 0.500 0.000
Na1 Na 0.000 0.500 0.500
Ge1 Ge 0.500 0.500 0.500
# total moment: 0.0 μB/f.u.
# energy relative to the elements: 96.4 meV per atom
# crystal system: tetragonal
# offset from the most stable computed form: 47 meV/atom

---

(9)
# CuTeAs, relaxed, DFT PBE
data_CuTeAs
_chemical_formula_sum 'Cu4 Te4 As4'
_cell_length_a 4.133
_cell_length_b 5.570
_cell_length_c 11.560
_cell_angle_alpha 90.00
_cell_angle_beta 90.00
_cell_angle_gamma 90.00
_space_group_name_H-M_alt 'F m m 2'
_space_group_IT_number 42
_space_group_name_Hall 'F 2 -2'
loop_
_atom_site_label
_atom_site_type_symbol
_atom_site_fract_x
_atom_site_fract_y
_atom_site_fract_z
Cu1 Cu 0.000 0.000 0.000
Te1 Te 0.000 0.000 0.645
As1 As 0.000 0.000 0.393
# total moment: 0.0 μB/f.u.
# formation energy from raw total energies: 0.278 eV per atom
# crystal system: orthorhombic

---

(10)
# LiEr5Cd4, relaxed, DFT PBE
data_LiEr5Cd4
_chemical_formula_sum 'Li1 Er5 Cd4'
_cell_length_a 3.710
_cell_length_b 3.710
_cell_length_c 18.519
_cell_angle_alpha 90.00
_cell_angle_beta 90.00
_cell_angle_gamma 90.00
_space_group_name_H-M_alt 'P 4/m m m'
_space_group_IT_number 123
_space_group_name_Hall '-P 4 2'
loop_
_atom_site_label
_atom_site_type_symbol
_atom_site_fract_x
_atom_site_fract_y
_atom_site_fract_z
Li1 Li 0.000 0.000 0.000
Er1 Er 0.500 0.500 0.099
Er2 Er 0.500 0.500 0.299
Er3 Er 0.500 0.500 0.500
Cd1 Cd 0.000 0.000 0.197
Cd2 Cd 0.000 0.000 0.399
# total moment: 0.0 μB/f.u.
# energy relative to the elements: -223.0 meV per atom
# crystal system: tetragonal

---

(11)
# UTl3Br6, relaxed, DFT PBE
data_UTl3Br6
_chemical_formula_sum 'U2 Tl6 Br12'
_cell_length_a 7.861
_cell_length_b 8.691
_cell_length_c 13.444
_cell_angle_alpha 90.00
_cell_angle_beta 121.87
_cell_angle_gamma 90.00
_space_group_name_H-M_alt 'P 1 21/c 1'
_space_group_IT_number 14
loop_
_space_group_symop_operation_xyz
'x,y,z'
'-x,-y,-z'
'-x,y+1/2,-z+1/2'
'x,-y+1/2,z+1/2'
loop_
_atom_site_label
_atom_site_type_symbol
_atom_site_fract_x
_atom_site_fract_y
_atom_site_fract_z
U1 U 0.000 0.000 0.000
Tl1 Tl 0.300 0.081 0.770
Tl2 Tl 0.500 0.000 0.500
Br1 Br 0.092 0.066 0.236
Br2 Br 0.243 0.721 0.083
Br3 Br 0.355 0.168 0.048
# total moment: 3.0 μB/f.u.
# formation energy from raw total energies: -1.040 eV per atom
# crystal system: monoclinic

---

(12)
# BeFe14Ge, relaxed, DFT PBE
data_BeFe14Ge
_chemical_formula_sum 'Be2 Fe28 Ge2'
_cell_length_a 5.785
_cell_length_b 7.953
_cell_length_c 7.916
_cell_angle_alpha 90.00
_cell_angle_beta 90.00
_cell_angle_gamma 90.00
_space_group_name_H-M_alt 'C m m m'
_space_group_IT_number 65
_space_group_name_Hall '-C 2 2'
loop_
_atom_site_label
_atom_site_type_symbol
_atom_site_fract_x
_atom_site_fract_y
_atom_site_fract_z
Be1 Be 0.000 0.000 0.000
Fe1 Fe 0.000 0.000 0.500
Fe2 Fe 0.000 0.250 0.247
Fe3 Fe 0.000 0.500 0.500
Fe4 Fe 0.244 0.000 0.248
Fe5 Fe 0.250 0.250 0.000
Fe6 Fe 0.250 0.250 0.500
Ge1 Ge 0.000 0.500 0.000
# total moment: 31.2 μB/f.u.
# energy relative to the elements: -26.2 meV per atom
# crystal system: orthorhombic